<i>
BeTcRh: relaxed, PBE-GGA.

Summary:
DOS at the Fermi energy (states/eV/cell): 8.64
Total magnetic moment (μB per cell): 0.000

a b c (Å): 7.2778 4.8839 4.2101
angles (deg): 90.00 90.00 90.00
Last column: nearest neighbours and their distance in Å.
Fractional positions:
1 Be 0.6669 0.2500 0.0000  5 Rh 2.42-2.44, 2 Tc 2.71
2 Be 0.8331 0.7500 0.5000  5 Rh 2.42-2.44, 2 Tc 2.71
3 Be 0.3331 0.7500 0.0000  5 Rh 2.42-2.44, 2 Tc 2.71
4 Be 0.1669 0.2500 0.5000  5 Rh 2.42-2.44, 2 Tc 2.71
5 Rh 0.3337 0.2500 0.0000  5 Be 2.42-2.44
6 Rh 0.1663 0.7500 0.5000  5 Be 2.42-2.44
7 Rh 0.6663 0.7500 0.0000  5 Be 2.42-2.44
8 Rh 0.8337 0.2500 0.5000  5 Be 2.42-2.44
9 Tc 0.0000 0.0000 0.0000  2 Tc 2.44, 6 Be 2.71-2.72, 6 Rh 2.72
10 Tc 0.5000 0.5000 0.5000  2 Tc 2.44, 6 Be 2.71-2.72, 6 Rh 2.72
11 Tc 0.5000 0.0000 0.5000  2 Tc 2.44, 6 Be 2.71-2.72, 6 Rh 2.72
12 Tc 0.0000 0.5000 0.0000  2 Tc 2.44, 6 Be 2.71-2.72, 6 Rh 2.72

---

<ii>
BeTcRh: relaxed, PBE-GGA.

Summary:
DOS at the Fermi energy (states/eV/cell): 3.73
Total magnetic moment (μB per cell): 0.000

a b c (Å): 2.7678 6.7941 3.9516
angles (deg): 90.00 90.00 89.99
Last column: nearest neighbours and their distance in Å.
Fractional positions:
1 Be 0.6835 0.6595 0.4466  2 Be 2.39, 6 Rh 2.40-2.46, 2 Tc 2.57
2 Be 0.6838 0.4613 0.9465  6 Rh 2.28-2.49, 1 Tc 2.35, 2 Be 2.39
3 Rh 0.1833 0.7276 0.9468  6 Be 2.28-2.46
4 Rh 0.1832 0.3703 0.4467  6 Be 2.40-2.49, 1 Tc 2.66
5 Tc 0.6832 0.1153 0.9468  1 Be 2.35, 4 Tc 2.58
6 Tc 0.1830 0.9790 0.4468  2 Be 2.57, 6 Tc 2.58-2.77, 3 Rh 2.61-2.66

---

<iii>
BeTcRh: relaxed, PBE-GGA.

Summary:
DOS at the Fermi energy (states/eV/cell): 3.53
Total magnetic moment (μB per cell): 0.000

a b c (Å): 2.8136 5.0490 5.6167
angles (deg): 73.01 89.91 106.14
Last column: nearest neighbours and their distance in Å.
Fractional positions:
1 Be 0.3713 0.5522 0.2798  4 Rh 2.36-2.37, 4 Tc 2.53-2.54
2 Be 0.3713 0.5522 0.7798  4 Rh 2.41-2.42, 4 Tc 2.46-2.47
3 Rh 0.0155 0.8402 0.9621  4 Be 2.36-2.42, 2 Tc 2.64
4 Rh 0.7263 0.2641 0.5982  4 Be 2.37-2.42, 2 Tc 2.64
5 Tc 0.7065 0.2235 0.1053  4 Be 2.47-2.54, 2 Tc 2.57, 2 Rh 2.64
6 Tc 0.0352 0.8808 0.4550  4 Be 2.46-2.54, 2 Tc 2.57, 2 Rh 2.64

---

Which of the structures shown above is the most stable? The most stable is <iii>.